(1)
Here is an optimized crystal structure of BeCr2Tc from Alexandria. Energies are from PBE-GGA.

a = 4.0690 Å, b = 4.0690 Å, c = 4.0690 Å
α = 60.00°, β = 60.00°, γ = 60.00°
Atoms (fractional coordinates):
1 Cr 0.0000 0.0000 0.0000
2 Cr 0.2500 0.2500 0.2500
3 Tc 0.7500 0.7500 0.7500
4 Be 0.5000 0.5000 0.5000

Results
Formation energy from the elements ... 0.032 eV/atom

(2)
Here is an optimized crystal structure of Mg2NiW from Alexandria. Energies are from PBE-GGA.

a = 5.2839 Å, b = 5.3129 Å, c = 2.6757 Å
α = 81.49°, β = 77.95°, γ = 116.40°
Atoms (fractional coordinates):
1 Ni 0.0000 0.5000 0.5000
2 Mg 0.5000 0.0000 0.5000
3 Mg 0.0000 0.0000 0.0000
4 W 0.5000 0.5000 0.0000

Results
Energy relative to the lowest polymorph listed for this composition ... 0.240 eV per atom
Formation energy from the elements ... 0.349 eV/atom

(3)
Here is an optimized crystal structure of CrTc4Au from Alexandria. Energies are from PBE-GGA.

a = 5.1130 Å, b = 5.1130 Å, c = 5.1130 Å
α = 60.00°, β = 60.00°, γ = 60.00°
Atoms (fractional coordinates):
1 Tc 0.1272 0.6243 0.6243
2 Tc 0.6243 0.6243 0.6243
3 Tc 0.6243 0.1272 0.6243
4 Tc 0.6243 0.6243 0.1272
5 Au 0.2500 0.2500 0.2500
6 Cr 0.0000 0.0000 0.0000

Results
Formation energy from the elements ... 0.439 eV/atom

(4)
Here is an optimized crystal structure of AlCrCuPd2 from Alexandria. Energies are from PBE-GGA.

a = 4.5947 Å, b = 4.2700 Å, c = 4.5947 Å
α = 90.00°, β = 90.00°, γ = 90.00°
Atoms (fractional coordinates):
1 Pd 0.5000 0.0000 0.0000
2 Pd 0.0000 0.0000 0.5000
3 Cu 0.0000 0.0000 0.0000
4 Al 0.0000 0.5000 0.0000
5 Cr 0.5000 0.5000 0.5000

Results
Formation energy from the elements ... 0.963 eV/atom

(5)
Here is an optimized crystal structure of Ac3Y3PuSe8 from Alexandria. Energies are from PBE-GGA.

a = 8.4014 Å, b = 8.4016 Å, c = 8.6306 Å
α = 119.12°, β = 90.00°, γ = 120.00°
Atoms (fractional coordinates):
1 Ac 0.0000 0.0000 0.0000
2 Ac 0.0000 0.5000 0.0000
3 Ac 0.5000 0.5000 0.0000
4 Pu 0.0000 0.0000 0.5000
5 Y 0.0000 0.5000 0.5000
6 Y 0.5000 0.0000 0.5000
7 Y 0.5000 0.5000 0.5000
8 Se 0.2591 0.5182 0.2767
9 Se 0.7514 0.0176 0.2694
10 Se 0.2484 0.4968 0.7308
11 Se 0.7409 0.4818 0.7233
12 Se 0.2662 0.0176 0.2694
13 Se 0.7338 0.9824 0.7306
14 Se 0.7516 0.5032 0.2692
15 Se 0.2486 0.9824 0.7306

Results
Formation energy without anion corrections ... -27.25 eV per formula unit

(6)
Here is an optimized crystal structure of SnBNO2 from Alexandria. Energies are from PBE-GGA.

a = 3.1130 Å, b = 3.1130 Å, c = 5.4428 Å
α = 90.00°, β = 90.00°, γ = 90.00°
Atoms (fractional coordinates):
1 O 0.0000 0.5000 0.0000
2 O 0.5000 0.0000 0.0000
3 B 0.0000 0.0000 0.0000
4 Sn 0.5000 0.5000 0.5000
5 N 0.0000 0.0000 0.5000

Results
Formation energy without anion corrections ... -0.92 eV per formula unit

(7)
Here is an optimized crystal structure of NdCdNi from Alexandria. Energies are from PBE-GGA.

a = 3.7562 Å, b = 4.5626 Å, c = 4.5626 Å
α = 120.00°, β = 90.00°, γ = 90.00°
Atoms (fractional coordinates):
1 Nd 0.6667 0.6667 0.3333
2 Ni 0.1666 0.0000 0.0000
3 Cd 0.1667 0.3333 0.6667

Results
Formation energy from the elements ... -0.190 eV/atom

(8)
Here is an optimized crystal structure of BaLa2CeTl4 from Alexandria. Energies are from PBE-GGA.

a = 5.7057 Å, b = 5.7057 Å, c = 9.9427 Å
α = 73.33°, β = 73.33°, γ = 60.00°
Atoms (fractional coordinates):
1 Tl 0.6173 0.6173 0.1482
2 Tl 0.8705 0.8705 0.3884
3 Tl 0.1295 0.1295 0.6116
4 Tl 0.3827 0.3827 0.8518
5 Ba 0.0000 0.0000 0.0000
6 Ce 0.5000 0.5000 0.5000
7 La 0.7481 0.7481 0.7557
8 La 0.2519 0.2519 0.2443

Results
Formation energy from the elements ... -0.316 eV/atom

(9)
Here is an optimized crystal structure of Pm2CuSi3Pt4 from Alexandria. Energies are from PBE-GGA.

a = 4.2714 Å, b = 4.2714 Å, c = 9.8631 Å
α = 90.00°, β = 90.00°, γ = 90.00°
Atoms (fractional coordinates):
1 Pt 0.0000 0.0000 0.0000
2 Pt 0.5000 0.5000 0.0000
3 Pt 0.0000 0.5000 0.3690
4 Pt 0.5000 0.0000 0.6310
5 Cu 0.5000 0.5000 0.5000
6 Si 0.0000 0.0000 0.5000
7 Si 0.0000 0.5000 0.1296
8 Si 0.5000 0.0000 0.8704
9 Pm 0.0000 0.5000 0.7403
10 Pm 0.5000 0.0000 0.2597

Results
Formation energy without anion corrections ... -10.14 eV per formula unit

(10)
Here is an optimized crystal structure of ZnHgOs2 from Alexandria. Energies are from PBE-GGA.

a = 3.5333 Å, b = 2.8057 Å, c = 7.2562 Å
α = 67.13°, β = 90.00°, γ = 90.00°
Atoms (fractional coordinates):
1 Os 0.0000 0.9538 0.0477
2 Os 0.5000 0.2641 0.2354
3 Hg 0.5000 0.7519 0.7482
4 Zn 0.0000 0.5301 0.4686

Results
Energy relative to the lowest polymorph listed for this composition ... 0.151 eV per atom
Formation energy from the elements ... 0.429 eV/atom

(11)
Here is an optimized crystal structure of Ag3PdSe from Alexandria. Energies are from PBE-GGA.

a = 5.0357 Å, b = 5.0357 Å, c = 5.0357 Å
α = 90.00°, β = 90.00°, γ = 90.00°
Atoms (fractional coordinates):
1 Ag 0.0000 0.0000 0.5000
2 Ag 0.5000 0.0000 0.0000
3 Ag 0.0000 0.5000 0.0000
4 Se 0.5000 0.5000 0.5000
5 Pd 0.0000 0.0000 0.0000

Results
Energy relative to the lowest polymorph listed for this composition ... 0.223 eV per atom
Formation energy without anion corrections ... 3.81 eV per formula unit

(12)
Here is an optimized crystal structure of Sc2Ru from Alexandria. Energies are from PBE-GGA.

a = 8.6682 Å, b = 8.6682 Å, c = 8.6682 Å
α = 60.00°, β = 60.00°, γ = 60.00°
Atoms (fractional coordinates):
1 Sc 0.3146 0.4354 0.9354
2 Sc 0.6854 0.5646 0.0646
3 Sc 0.0000 0.0000 0.5000
4 Sc 0.5000 0.0000 0.0000
5 Sc 0.5000 0.5000 0.5000
6 Sc 0.9354 0.8146 0.3146
7 Sc 0.3146 0.4354 0.3146
8 Sc 0.6854 0.5646 0.6854
9 Sc 0.6854 0.1854 0.0646
10 Sc 0.5000 0.0000 0.5000
11 Sc 0.3146 0.8146 0.9354
12 Sc 0.0646 0.1854 0.0646
13 Sc 0.9354 0.8146 0.9354
14 Sc 0.9354 0.4354 0.3146
15 Sc 0.0646 0.1854 0.6854
16 Sc 0.0646 0.5646 0.6854
17 Ru 0.3598 0.2134 0.7134
18 Ru 0.2866 0.7866 0.6402
19 Ru 0.2866 0.1402 0.2866
20 Ru 0.7134 0.2134 0.3598
21 Ru 0.6402 0.7866 0.2866
22 Ru 0.7134 0.8598 0.7134
23 Ru 0.7134 0.2134 0.7134
24 Ru 0.2866 0.7866 0.2866

Results
Formation energy from the elements ... -0.399 eV/atom

The records above give, respectively, total magnetization values of 0.496; 0.000; 0.261; 0.042; 0.417; 0.000; 0.000; 0.131; 0.000; 0.000; 0.000; 0.000 μB/atom.
The records above give, respectively, density of states at the Fermi level values of 3.3; 3.1; 4.7; 5.1; 16.6; 0.9; 3.5; 13.6; 5.4; 2.1; 2.3; 26.7 states/eV per cell.